(1)
{"formula": "NaCeO2", "functional": "SCAN", "state": "single point on PBEsol structure", "lattice": [[-2.977, 0.275, 3.653], [0.899, -4.508, 1.072], [5.076, 3.676, 0.811]], "species": ["Na", "Na", "O", "O", "O", "O", "Ce", "Ce"], "fractional_positions": [[0.500, 0.500, 0.000], [0.750, 0.250, 0.500], [0.222, 0.222, 0.444], [0.028, 0.528, 0.056], [0.472, 0.972, 0.944], [0.778, 0.778, 0.556], [0.000, 0.000, 0.000], [0.250, 0.750, 0.500]], "formation_energy_uncorrected_mev_per_atom": -2889, "m_tot_mub_per_cell": 2.000, "space_group": "I4_1/amd (141)", "dos_at_fermi_per_ev_fu": 0.8}

=====

(2)
{"formula": "AlTl2PdPt", "functional": "SCAN", "state": "single point on PBEsol structure", "lattice": [[-3.830, 0.889, 2.157], [-2.383, -3.530, -2.776], [1.148, -3.517, 3.487]], "species": ["Tl", "Tl", "Pd", "Pt", "Al"], "fractional_positions": [[0.000, 0.000, 0.500], [0.000, 0.500, 0.000], [0.500, 0.000, 0.000], [0.500, 0.500, 0.500], [0.000, 0.000, 0.000]], "formation_energy_ev_per_atom": 0.677, "m_tot_mub_per_cell": 0.000, "space_group": "P4/mmm (123)", "dos_at_fermi_per_ev_fu": 2.1}

=====

(3)
{"formula": "ThAu", "functional": "SCAN", "state": "single point on PBEsol structure", "lattice": [[6.179, 0.017, 0.000], [-5.053, 3.557, 0.000], [0.000, 0.000, 4.526]], "species": ["Au", "Au", "Th", "Th"], "fractional_positions": [[0.575, 0.425, 0.750], [0.425, 0.575, 0.250], [0.849, 0.151, 0.750], [0.151, 0.849, 0.250]], "formation_energy_ev_per_atom": -0.783, "m_tot_mub_per_cell": 0.004, "space_group": "Cmcm (63)", "dos_at_fermi_per_ev_fu": 2.0}

=====

(4)
{"formula": "Sr2SiSO", "functional": "SCAN", "state": "single point on PBEsol structure", "lattice": [[3.823, 0.000, 0.000], [0.000, 5.222, 0.000], [0.000, 0.000, 5.222]], "species": ["Sr", "Sr", "S", "Si", "O"], "fractional_positions": [[0.000, 0.000, 0.500], [0.000, 0.500, 0.000], [0.500, 0.500, 0.500], [0.500, 0.000, 0.000], [0.000, 0.000, 0.000]], "formation_energy_uncorrected_mev_per_atom": -1516, "m_tot_mub_per_cell": 0.000, "space_group": "P4/mmm (123)", "dos_at_fermi_per_ev_fu": 2.4}

=====

(5)
{"formula": "La2Sn2Pb", "functional": "SCAN", "state": "single point on PBEsol structure", "lattice": [[-2.883, 2.811, -0.886], [-1.656, -2.571, -2.766], [-3.162, -3.636, 8.346]], "species": ["Pb", "Sn", "Sn", "La", "La"], "fractional_positions": [[0.000, 0.000, 0.000], [0.250, 0.750, 0.500], [0.750, 0.250, 0.500], [0.395, 0.395, 0.789], [0.605, 0.605, 0.211]], "formation_energy_ev_per_atom": -0.639, "m_tot_mub_per_cell": 0.000, "space_group": "I4/mmm (139)", "dos_at_fermi_per_ev_fu": 4.1}

=====

(6)
{"formula": "K2Pr4Cl9O2", "functional": "SCAN", "state": "single point on PBEsol structure", "lattice": [[8.377, -0.009, 0.000], [-2.374, 9.150, 0.000], [0.000, 0.000, 11.281]], "species": ["K", "K", "K", "K", "Pr", "Pr", "Pr", "Pr", "Pr", "Pr", "Pr", "Pr", "Cl", "Cl", "Cl", "Cl", "Cl", "Cl", "Cl", "Cl", "Cl", "Cl", "Cl", "Cl", "Cl", "Cl", "Cl", "Cl", "Cl", "Cl", "O", "O", "O", "O"], "fractional_positions": [[0.231, 0.439, 0.521], [0.769, 0.561, 0.021], [0.769, 0.561, 0.479], [0.231, 0.439, 0.979], [0.383, 0.162, 0.250], [0.617, 0.838, 0.750], [0.284, 0.957, 0.546], [0.716, 0.043, 0.046], [0.716, 0.043, 0.454], [0.615, 0.216, 0.750], [0.385, 0.784, 0.250], [0.284, 0.957, 0.954], [0.881, 0.296, 0.586], [0.894, 0.879, 0.906], [0.255, 0.138, 0.750], [0.745, 0.862, 0.250], [0.494, 0.279, 0.499], [0.119, 0.704, 0.414], [0.642, 0.532, 0.750], [0.358, 0.468, 0.250], [0.881, 0.296, 0.914], [0.106, 0.121, 0.094], [0.506, 0.721, 0.999], [0.894, 0.879, 0.594], [0.506, 0.721, 0.501], [0.106, 0.121, 0.406], [0.119, 0.704, 0.086], [0.494, 0.279, 0.001], [0.253, 0.759, 0.750], [0.747, 0.241, 0.250], [0.550, 0.012, 0.878], [0.450, 0.988, 0.122], [0.550, 0.012, 0.622], [0.450, 0.988, 0.378]], "formation_energy_uncorrected_mev_per_atom": -2713, "m_tot_mub_per_cell": 2.000, "space_group": "P2_1/m (11)"}

=====

(7)
{"formula": "MgSc", "functional": "SCAN", "state": "single point on PBEsol structure", "lattice": [[3.427, 0.000, 0.000], [0.000, 5.058, 0.000], [0.000, 0.000, 5.349]], "species": ["Sc", "Sc", "Mg", "Mg"], "fractional_positions": [[0.500, 0.000, 0.065], [0.000, 0.500, 0.935], [0.000, 0.000, 0.571], [0.500, 0.500, 0.429]], "formation_energy_ev_per_atom": 0.029, "m_tot_mub_per_cell": 0.492, "space_group": "Pmmn (59)", "dos_at_fermi_per_ev_fu": 1.8}

=====

(8)
{"formula": "Ba4Co", "functional": "SCAN", "state": "single point on PBEsol structure", "lattice": [[-0.391, -5.694, 3.105], [6.244, 1.513, -0.971], [-2.815, 4.624, 3.593]], "species": ["Ba", "Ba", "Ba", "Ba", "Co"], "fractional_positions": [[0.000, 0.000, 0.500], [0.000, 0.500, 0.000], [0.500, 0.000, 0.000], [0.500, 0.500, 0.500], [0.000, 0.000, 0.000]], "formation_energy_ev_per_atom": 0.393, "m_tot_mub_per_cell": 1.660, "space_group": "Im-3m (229)", "dos_at_fermi_per_ev_fu": 4.7}

=====

(9)
{"formula": "MgPW2", "functional": "SCAN", "state": "single point on PBEsol structure", "lattice": [[2.956, 0.000, -0.004], [0.000, 4.350, 0.000], [-1.354, 0.000, 4.885]], "species": ["Mg", "P", "W", "W"], "fractional_positions": [[0.458, 0.000, 0.528], [0.092, 0.500, 0.770], [0.139, 0.000, 0.999], [0.810, 0.500, 0.203]], "formation_energy_ev_per_atom": 0.306, "m_tot_mub_per_cell": 0.000, "space_group": "Pm (6)", "dos_at_fermi_per_ev_fu": 1.9}

=====

(10)
{"formula": "BTeRhAu2", "functional": "SCAN", "state": "single point on PBEsol structure", "lattice": [[3.822, 0.000, 0.000], [0.000, 5.065, 0.000], [0.000, 0.000, 5.065]], "species": ["Rh", "B", "Te", "Au", "Au"], "fractional_positions": [[0.000, 0.000, 0.000], [0.500, 0.000, 0.000], [0.500, 0.500, 0.500], [0.000, 0.000, 0.500], [0.000, 0.500, 0.000]], "formation_energy_uncorrected_mev_per_atom": 722, "m_tot_mub_per_cell": 0.000, "space_group": "P4/mmm (123)", "dos_at_fermi_per_ev_fu": 2.7}

=====

(11)
{"formula": "SrSb2O6", "functional": "SCAN", "state": "single point on PBEsol structure", "lattice": [[-0.159, -3.161, 4.258], [2.895, -1.384, -4.225], [4.238, 2.567, 2.063]], "species": ["Sb", "Sb", "O", "O", "O", "O", "O", "O", "Sr"], "fractional_positions": [[0.667, 0.333, 0.500], [0.333, 0.667, 0.500], [0.624, 0.624, 0.708], [0.000, 0.376, 0.708], [0.376, 0.000, 0.708], [0.000, 0.624, 0.292], [0.376, 0.376, 0.292], [0.624, 0.000, 0.292], [0.000, 0.000, 0.000]], "formation_energy_uncorrected_mev_per_atom": -2081, "m_tot_mub_per_cell": 0.000, "space_group": "P-31m (162)", "dos_at_fermi_per_ev_fu": 0.0}

=====

(12)
{"formula": "MnCoMo", "functional": "SCAN", "state": "single point on PBEsol structure", "lattice": [[3.936, 0.000, 0.000], [1.968, 3.409, 0.000], [1.968, 1.136, 3.214]], "species": ["Co", "Mn", "Mo"], "fractional_positions": [[0.250, 0.250, 0.250], [0.000, 0.000, 0.000], [0.500, 0.500, 0.500]], "formation_energy_ev_per_atom": 0.410, "m_tot_mub_per_cell": 4.419, "space_group": "F-43m (216)", "dos_at_fermi_per_ev_fu": 3.0}

=====

(13)
{"formula": "TcBiTeN2", "functional": "SCAN", "state": "single point on PBEsol structure", "lattice": [[-1.773, -1.151, -3.641], [3.816, -0.693, -1.639], [-0.227, -5.983, 2.001]], "species": ["N", "N", "Te", "Bi", "Tc"], "fractional_positions": [[0.000, 0.500, 0.000], [0.500, 0.000, 0.000], [0.000, 0.000, 0.500], [0.000, 0.000, 0.000], [0.500, 0.500, 0.500]], "formation_energy_uncorrected_mev_per_atom": 1971, "m_tot_mub_per_cell": 5.982, "space_group": "P4/mmm (123)", "dos_at_fermi_per_ev_fu": 1.5}

=====

(14)
{"formula": "Cd3Rh", "functional": "SCAN", "state": "single point on PBEsol structure", "lattice": [[3.137, 0.000, 0.000], [0.000, 3.137, 0.000], [0.000, 0.000, 7.380]], "species": ["Rh", "Cd", "Cd", "Cd"], "fractional_positions": [[0.500, 0.500, 0.000], [0.000, 0.000, 0.780], [0.000, 0.000, 0.220], [0.500, 0.500, 0.500]], "formation_energy_ev_per_atom": -0.056, "m_tot_mub_per_cell": 0.000, "space_group": "P4/mmm (123)", "dos_at_fermi_per_ev_fu": 1.5}

=====

(15)
{"formula": "Al3Cu2", "functional": "SCAN", "state": "single point on PBEsol structure", "lattice": [[-1.463, -1.832, 1.544], [1.343, -1.899, 1.571], [0.039, 5.278, 8.852]], "species": ["Al", "Al", "Al", "Cu", "Cu"], "fractional_positions": [[0.000, 0.000, 0.000], [0.204, 0.204, 0.388], [0.796, 0.796, 0.612], [0.601, 0.601, 0.196], [0.399, 0.399, 0.804]], "formation_energy_ev_per_atom": -0.142, "m_tot_mub_per_cell": 0.007, "space_group": "R-3m (166)", "dos_at_fermi_per_ev_fu": 1.6}

=====

(16)
{"formula": "CdTc2Cl", "functional": "SCAN", "state": "single point on PBEsol structure", "lattice": [[4.483, 0.000, 0.000], [2.241, 3.882, 0.000], [2.241, 1.294, 3.660]], "species": ["Cl", "Tc", "Tc", "Cd"], "fractional_positions": [[0.250, 0.250, 0.250], [0.000, 0.000, 0.000], [0.750, 0.750, 0.750], [0.500, 0.500, 0.500]], "formation_energy_uncorrected_mev_per_atom": 915, "m_tot_mub_per_cell": 1.014, "space_group": "F-43m (216)", "dos_at_fermi_per_ev_fu": 2.0}

=====

(17)
{"formula": "KBe2Tc2", "functional": "SCAN", "state": "single point on PBEsol structure", "lattice": [[4.426, 0.000, 0.000], [0.000, 4.426, 0.000], [-2.213, -2.213, 4.006]], "species": ["Be", "Be", "K", "Tc", "Tc"], "fractional_positions": [[0.250, 0.750, 0.500], [0.750, 0.250, 0.500], [0.000, 0.000, 0.000], [0.359, 0.359, 0.718], [0.641, 0.641, 0.282]], "formation_energy_ev_per_atom": 0.805, "m_tot_mub_per_cell": 0.000, "space_group": "I4/mmm (139)", "dos_at_fermi_per_ev_fu": 1.9}

=====

(18)
{"formula": "CeSi2Ni2", "functional": "SCAN", "state": "single point on PBEsol structure", "lattice": [[-1.012, -0.986, -3.725], [3.833, 0.142, -1.079], [-0.937, -4.140, 3.481]], "species": ["Ni", "Ni", "Si", "Si", "Ce"], "fractional_positions": [[0.750, 0.250, 0.500], [0.250, 0.750, 0.500], [0.372, 0.372, 0.744], [0.628, 0.628, 0.256], [0.000, 0.000, 0.000]], "formation_energy_uncorrected_mev_per_atom": -804, "m_tot_mub_per_cell": 0.004, "space_group": "I4/mmm (139)", "dos_at_fermi_per_ev_fu": 5.1}

=====

(19)
{"formula": "AlReSe2", "functional": "SCAN", "state": "single point on PBEsol structure", "lattice": [[-2.519, 0.460, 1.471], [-0.223, -0.717, -2.856], [-0.306, -8.959, 2.274]], "species": ["Re", "Al", "Se", "Se"], "fractional_positions": [[0.500, 0.500, 0.262], [0.000, 0.000, 0.485], [0.000, 0.000, 0.051], [0.500, 0.500, 0.702]], "formation_energy_uncorrected_mev_per_atom": 303, "m_tot_mub_per_cell": 0.000, "space_group": "Cmm2 (35)", "dos_at_fermi_per_ev_fu": 2.0}

=====

(20)
{"formula": "InHg2Cl", "functional": "SCAN", "state": "single point on PBEsol structure", "lattice": [[4.036, -0.044, 0.000], [-0.220, 4.500, 0.000], [0.000, 0.000, 5.713]], "species": ["In", "Hg", "Hg", "Cl"], "fractional_positions": [[0.000, 0.500, 0.500], [0.248, 0.249, 0.000], [0.752, 0.751, 0.000], [0.500, 0.000, 0.500]], "formation_energy_uncorrected_mev_per_atom": -365, "m_tot_mub_per_cell": 0.000, "space_group": "P2/m (10)", "dos_at_fermi_per_ev_fu": 0.5}

=====

no.,final energy (eV/cell)
1,-145.59
2,-252.05
3,-333.28
4,-78.01
5,-237.03
6,-640.70
7,-38.31
8,-173.54
9,-153.52
10,-213.16
11,-152.91
12,-69.22
13,-159.62
14,-125.24
15,-54.36
16,-104.85
17,-83.13
18,-100.96
19,-117.79
20,-179.16